[1]
Below is an optimized crystal structure of HfSeI2, with properties calculated at the PBE level.

```
4
Lattice="-3.210 -1.813 0.472 4.052 -3.117 0.953 -1.504 4.475 6.967" Properties=species:S:1:pos:R:3 pbc="T T T"
I 0.265 -0.233 0.906
I 0.201 0.969 5.093
Se 1.566 -1.824 3.648
Hf -0.999 -1.153 3.417
```

Calculated values
Its total energy is -4.99 eV/atom. Its symmetry is Cm (8). Its formation energy (no corrections) is -0.86 eV/atom. Its energy above the most stable polymorph in this dataset is 0.000 eV/atom.

---

[2]
Below is an optimized crystal structure of HfSe2I, with properties calculated at the PBE level.

```
4
Lattice="-4.526 9.065 6.598 -2.805 7.225 9.281 -0.946 9.648 7.227" Properties=species:S:1:pos:R:3 pbc="T T T"
Se -7.272 22.789 20.301
I 0.000 0.000 0.000
Se -1.005 3.149 2.805
Hf -4.138 12.969 11.553
```

Calculated values
Its total energy is -5.52 eV/atom. Its symmetry is R-3m (166). Its formation energy (no corrections) is -0.90 eV/atom. Its energy above the most stable polymorph in this dataset is 0.003 eV/atom.

---

[3]
Below is an optimized crystal structure of HfSeI, with properties calculated at the PBE level.

```
6
Lattice="3.784 0.000 -0.727 0.000 5.253 0.000 0.005 0.000 9.857" Properties=species:S:1:pos:R:3 pbc="T T T"
Se 2.633 1.313 8.224
I 0.381 3.940 6.714
Se 1.155 3.940 0.905
Hf 1.096 1.313 0.601
I 3.407 1.313 2.415
Hf 2.692 3.940 8.528
```

Calculated values
Its total energy is -6.09 eV/atom. Its symmetry is P2_1/m (11). Its formation energy (no corrections) is -1.09 eV/atom.

---

[4]
Below is an optimized crystal structure of HfSeI2, with properties calculated at the PBE level.

```
4
Lattice="0.000 3.675 3.675 3.675 0.000 3.675 3.675 3.675 0.000" Properties=species:S:1:pos:R:3 pbc="T T T"
Se 0.000 0.000 0.000
I 5.513 5.513 5.513
Hf 3.675 3.675 3.675
I 1.838 1.838 1.838
```

Calculated values
Its total energy is -4.02 eV/atom. Its symmetry is Fm-3m (225). Its formation energy (no corrections) is 0.11 eV/atom. Its energy above the most stable polymorph in this dataset is 0.967 eV/atom.

---

[5]
Below is an optimized crystal structure of HfTcSe2I, with properties calculated at the PBE level.

```
5
Lattice="5.470 0.000 0.000 0.000 5.470 0.000 0.000 0.000 5.261" Properties=species:S:1:pos:R:3 pbc="T T T"
I 0.000 0.000 0.000
Se 2.735 0.000 0.000
Se 0.000 2.735 0.000
Tc 2.735 2.735 2.630
Hf 0.000 0.000 2.630
```

Calculated values
Its total energy is -4.04 eV/atom. Its symmetry is P4/mmm (123). Its formation energy (no corrections) is 1.73 eV/atom. Its energy above the most stable polymorph in this dataset is 0.170 eV/atom.

---

[6]
Below is an optimized crystal structure of HfTcSe2I, with properties calculated at the PBE level.

```
5
Lattice="-3.757 3.459 -1.504 -1.704 -3.251 -3.221 -3.283 -1.954 3.708" Properties=species:S:1:pos:R:3 pbc="T T T"
Se -1.879 1.730 -0.752
Tc -0.852 -1.626 -1.611
Se -1.641 -0.977 1.854
Hf -4.372 -0.873 -0.509
I 0.000 0.000 0.000
```

Calculated values
Its total energy is -4.21 eV/atom. Its symmetry is P4/mmm (123). Its formation energy (no corrections) is 1.56 eV/atom. Its energy above the most stable polymorph in this dataset is 0.000 eV/atom.

---

[7]
Below is an optimized crystal structure of Hf2TcSeI, with properties calculated at the PBE level.

```
5
Lattice="5.083 0.000 0.000 0.000 5.011 0.000 0.000 0.000 5.083" Properties=species:S:1:pos:R:3 pbc="T T T"
Tc 0.000 0.000 0.000
I 0.000 2.505 0.000
Se 2.542 2.505 2.542
Hf 2.542 0.000 0.000
Hf 0.000 0.000 2.542
```

Calculated values
Its total energy is -6.51 eV/atom. Its symmetry is P4/mmm (123). Its formation energy (no corrections) is 0.55 eV/atom.

---

[8]
Below is an optimized crystal structure of Hf2SiI, with properties calculated at the PBE level.

```
8
Lattice="5.666 0.000 0.000 0.000 5.666 0.000 2.833 2.833 7.301" Properties=species:S:1:pos:R:3 pbc="T T T"
Hf 7.083 6.666 5.476
Si 2.833 5.666 3.651
Hf 4.250 4.666 5.476
Si 2.833 2.833 0.000
I 0.000 0.000 0.000
I 5.666 2.833 3.651
Hf 3.833 1.417 1.825
Hf 1.833 4.250 1.825
```

Calculated values
Its total energy is -6.23 eV/atom. Its symmetry is I-42d (122). Its formation energy (no corrections) is 0.49 eV/atom. Its energy above the most stable polymorph in this dataset is 0.516 eV/atom.

---

[9]
Below is an optimized crystal structure of HfSi2I, with properties calculated at the PBE level.

```
4
Lattice="0.000 3.448 3.448 3.448 0.000 3.448 3.448 3.448 0.000" Properties=species:S:1:pos:R:3 pbc="T T T"
Hf 3.448 3.448 3.448
I 0.000 0.000 0.000
Si 5.173 5.173 5.173
Si 1.724 1.724 1.724
```

Calculated values
Its total energy is -4.85 eV/atom. Its symmetry is Fm-3m (225). Its formation energy (no corrections) is 0.73 eV/atom. Its energy above the most stable polymorph in this dataset is 0.000 eV/atom.

---

[10]
Below is an optimized crystal structure of Hf2SiI, with properties calculated at the PBE level.

```
4
Lattice="0.000 3.438 3.438 3.438 0.000 3.438 3.438 3.438 0.000" Properties=species:S:1:pos:R:3 pbc="T T T"
Hf 1.719 1.719 1.719
Si 0.000 0.000 0.000
I 3.438 3.438 3.438
Hf 5.157 5.157 5.157
```

Calculated values
Its total energy is -6.74 eV/atom. Its symmetry is Fm-3m (225). Its formation energy (no corrections) is -0.02 eV/atom. Its energy above the most stable polymorph in this dataset is 0.000 eV/atom.

---

[11]
Below is an optimized crystal structure of HfSi2I, with properties calculated at the PBE level.

```
8
Lattice="6.268 0.000 0.000 0.000 6.268 0.000 3.134 3.134 6.600" Properties=species:S:1:pos:R:3 pbc="T T T"
Si 7.834 8.117 4.950
Si 4.701 4.418 4.950
I 3.134 6.268 3.300
Hf 6.268 3.134 3.300
I 3.134 3.134 0.000
Si 1.284 4.701 1.650
Hf 0.000 0.000 0.000
Si 4.983 1.567 1.650
```

Calculated values
Its total energy is -4.72 eV/atom. Its symmetry is I-42d (122). Its formation energy (no corrections) is 0.87 eV/atom. Its energy above the most stable polymorph in this dataset is 0.136 eV/atom.

---

[12]
Below is an optimized crystal structure of HfSiI2, with properties calculated at the PBE level.

```
4
Lattice="1.320 2.501 4.242 -3.408 2.947 2.386 -1.905 -1.440 4.504" Properties=species:S:1:pos:R:3 pbc="T T T"
I -2.994 3.006 8.349
Hf -1.996 2.004 5.566
I -0.998 1.002 2.783
Si 0.000 0.000 0.000
```

Calculated values
Its total energy is -4.18 eV/atom. Its symmetry is Fm-3m (225). Its formation energy (no corrections) is 0.44 eV/atom.